This record from Alexandria via LeMat-Bulk describes crystalline TeIrF at its relaxed geometry. The functional is PBE-GGA.

Output
The calculation puts the energy above the lowest structure with this stoichiometry at 0.55 eV/f.u. Its electronic total energy is -15.26 eV per cell. Its density of states at the Fermi level is 0.2 states/eV per cell. For the mass density, the calculation gives 10.07 g cm⁻³.

Cell: 3.450 3.059 5.495 Å, 90.00 105.65 90.00°
Fractional positions:
Ir 0.065 0.000 0.952
Te 0.436 0.500 0.694
F 0.784 0.000 0.252

---

This record from Alexandria via LeMat-Bulk describes crystalline Pm2HgI at its relaxed geometry. The functional is PBE-GGA.

Output
The calculation puts the energy above the lowest structure with this stoichiometry at 0.22 eV/f.u. Its electronic total energy is -13.68 eV per cell. Its density of states at the Fermi level is 4.8 states/eV per cell. For the mass density, the calculation gives 8.78 g cm⁻³.

Cell: 3.718 3.718 8.447 Å, 90.00 90.00 90.00°
Fractional positions:
I 0.500 0.500 0.500
Hg 0.500 0.500 0.000
Pm 0.000 0.000 0.768
Pm 0.000 0.000 0.232

---

This record from Alexandria via LeMat-Bulk describes crystalline Th2Cd3Ag4 at its relaxed geometry. The functional is PBE-GGA.

Output
Its electronic total energy is -59.04 eV per cell. Its density of states at the Fermi level is 12.4 states/eV per cell. For the mass density, the calculation gives 9.84 g cm⁻³.

Cell: 6.093 8.214 8.855 Å, 90.00 110.12 90.00°
Fractional positions:
Th 0.105 0.592 0.211
Th 0.895 0.408 0.789
Th 0.395 0.092 0.789
Th 0.605 0.908 0.211
Cd 0.000 0.000 0.000
Cd 0.500 0.500 0.000
Cd 0.519 0.750 0.538
Cd 0.981 0.250 0.462
Cd 0.481 0.250 0.462
Cd 0.019 0.750 0.538
Ag 0.689 0.750 0.879
Ag 0.811 0.250 0.121
Ag 0.311 0.250 0.121
Ag 0.189 0.750 0.879
Ag 0.173 0.977 0.346
Ag 0.827 0.023 0.654
Ag 0.327 0.477 0.654
Ag 0.673 0.523 0.346

---

This record from Alexandria via LeMat-Bulk describes crystalline Pm2GaSbPt6 at its relaxed geometry. The functional is PBE-GGA.

Output
Its electronic total energy is -60.73 eV per cell. Its density of states at the Fermi level is 4.1 states/eV per cell. For the mass density, the calculation gives 12.15 g cm⁻³.

Cell: 5.638 8.827 8.826 Å, 37.25 71.35 89.98°
Fractional positions:
Pm 0.202 0.798 0.597
Pm 0.798 0.202 0.403
Ga 0.500 0.500 0.000
Sb 0.000 0.000 0.000
Pt 0.254 0.745 0.992
Pt 0.753 0.745 0.992
Pt 0.254 0.246 0.491
Pt 0.746 0.255 0.008
Pt 0.247 0.255 0.008
Pt 0.746 0.754 0.509

---

This record from Alexandria via LeMat-Bulk describes crystalline CaCdP at its relaxed geometry. The functional is PBE-GGA.

Output
The calculation puts the energy above the lowest structure with this stoichiometry at 0.00 eV/f.u. Its electronic total energy is -40.38 eV per cell. Its density of states at the Fermi level is 5.2 states/eV per cell. For the mass density, the calculation gives 4.08 g cm⁻³.

Cell: 4.368 5.665 12.068 Å, 90.00 90.00 90.00°
Fractional positions:
P 0.250 0.250 0.922
P 0.750 0.250 0.422
P 0.750 0.750 0.078
P 0.250 0.750 0.578
Ca 0.250 0.250 0.589
Ca 0.750 0.250 0.089
Ca 0.750 0.750 0.411
Ca 0.250 0.750 0.911
Cd 0.250 0.249 0.309
Cd 0.750 0.251 0.809
Cd 0.750 0.751 0.691
Cd 0.250 0.749 0.191

---

This record from Alexandria via LeMat-Bulk describes crystalline Ta2MnCr at its relaxed geometry. The functional is PBE-GGA.

Output
Its electronic total energy is -42.11 eV per cell. Its density of states at the Fermi level is 2.6 states/eV per cell. For the mass density, the calculation gives 13.08 g cm⁻³.

Cell: 2.781 2.781 8.240 Å, 90.00 90.00 111.00°
Fractional positions:
Cr 0.500 0.500 0.250
Mn 0.500 0.500 0.750
Ta 0.000 0.000 0.997
Ta 0.000 0.000 0.503

---

This record from Alexandria via LeMat-Bulk describes crystalline CdAsS at its relaxed geometry. The functional is PBE-GGA.

Output
The calculation puts the energy above the lowest structure with this stoichiometry at 0.00 eV/f.u. Its electronic total energy is -63.88 eV per cell. Its density of states at the Fermi level is 1.6 states/eV per cell. For the mass density, the calculation gives 4.92 g cm⁻³.

Cell: 4.019 4.019 31.726 Å, 90.00 90.00 120.00°
Fractional positions:
As 0.000 0.000 0.468
As 0.333 0.667 0.135
As 0.667 0.333 0.802
As 0.000 0.000 0.840
As 0.333 0.667 0.506
As 0.667 0.333 0.173
S 0.000 0.000 0.623
S 0.333 0.667 0.290
S 0.667 0.333 0.956
S 0.000 0.000 0.070
S 0.333 0.667 0.737
S 0.667 0.333 0.404
Cd 0.000 0.000 0.925
Cd 0.333 0.667 0.591
Cd 0.667 0.333 0.258
Cd 0.000 0.000 0.704
Cd 0.333 0.667 0.370
Cd 0.667 0.333 0.037

---

This record from Alexandria via LeMat-Bulk describes crystalline HfPbO2 at its relaxed geometry. The functional is PBE-GGA.

Output
Its electronic total energy is -29.32 eV per cell. Its density of states at the Fermi level is 0.6 states/eV per cell. For the mass density, the calculation gives 9.15 g cm⁻³.

Cell: 7.171 7.171 7.171 Å, 28.83 28.83 28.83°
Fractional positions:
Pb 0.500 0.500 0.500
Hf 0.000 0.000 0.000
O 0.905 0.905 0.905
O 0.095 0.095 0.095

---

This record from Alexandria via LeMat-Bulk describes crystalline UNbSn2 at its relaxed geometry. The functional is PBE-GGA.

Output
Its electronic total energy is -28.33 eV per cell. Its density of states at the Fermi level is 7.2 states/eV per cell. For the mass density, the calculation gives 10.03 g cm⁻³.

Cell: 3.113 3.113 11.352 Å, 82.12 82.12 60.00°
Fractional positions:
Nb 0.500 0.500 0.500
U 0.000 0.000 0.000
Sn 0.095 0.095 0.715
Sn 0.905 0.905 0.285

---

This record from Alexandria via LeMat-Bulk describes crystalline SrAl2Cu at its relaxed geometry. The functional is PBE-GGA.

Output
Its electronic total energy is -26.49 eV per cell. Its density of states at the Fermi level is 5.8 states/eV per cell. For the mass density, the calculation gives 3.20 g cm⁻³.

Cell: 5.054 5.054 9.058 Å, 73.80 73.80 90.00°
Fractional positions:
Sr 0.000 0.000 0.000
Sr 0.750 0.250 0.500
Al 0.375 0.125 0.250
Al 0.375 0.625 0.250
Al 0.375 0.625 0.750
Al 0.875 0.625 0.750
Cu 0.500 0.500 0.000
Cu 0.250 0.750 0.500

---

This record from Alexandria via LeMat-Bulk describes crystalline TlTeS2 at its relaxed geometry. The functional is PBE-GGA.

Output
The calculation puts the energy above the lowest structure with this stoichiometry at 0.69 eV/f.u. Its electronic total energy is -13.42 eV per cell. Its density of states at the Fermi level is 2.3 states/eV per cell. For the mass density, the calculation gives 5.34 g cm⁻³.

Cell: 9.608 9.608 9.608 Å, 23.44 23.44 23.44°
Fractional positions:
Tl 0.000 0.000 0.000
Te 0.500 0.500 0.500
S 0.887 0.887 0.887
S 0.113 0.113 0.113

---

This record from Alexandria via LeMat-Bulk describes crystalline Zn at its relaxed geometry. The functional is PBE-GGA.

Output
The calculation puts the energy above the lowest structure with this stoichiometry at 0.02 eV/f.u. Its electronic total energy is -5.04 eV per cell. Its density of states at the Fermi level is 0.6 states/eV per cell. For the mass density, the calculation gives 7.19 g cm⁻³.

Cell: 2.678 2.678 9.732 Å, 90.00 90.00 120.00°
Fractional positions:
Zn 0.000 0.000 0.000
Zn 0.667 0.333 0.750
Zn 0.000 0.000 0.500
Zn 0.333 0.667 0.250